Entry 1:
# TbPm2ScS6, optimized geometry, DFT PBE
data_TbPm2ScS6
_chemical_formula_sum 'Tb3 Pm6 Sc3 S18'
_space_group_name_H-M_alt 'R 3'
_space_group_IT_number 146
_space_group_name_Hall 'R 3'
_cell_length_a 6.9375
_cell_length_b 6.9375
_cell_length_c 18.2713
_cell_angle_alpha 90.00
_cell_angle_beta 90.00
_cell_angle_gamma 120.00
loop_
_atom_site_label
_atom_site_type_symbol
_atom_site_fract_x
_atom_site_fract_y
_atom_site_fract_z
_atom_site_occupancy
Tb1 Tb 0.0000 0.0000 0.0000 1
Pm1 Pm 0.0000 0.0000 0.2923 1
Pm2 Pm 0.0000 0.0000 0.7945 1
Sc1 Sc 0.0000 0.0000 0.4969 1
S1 S 0.0464 0.7024 0.5679 1
S2 S 0.0534 0.3656 0.0711 1
# **Energy relative to the elements, uncorrected**: -1.99 eV/atom
# **DOS at the Fermi energy**: 0.00 states/eV/f.u.

***

Entry 2:
# Ho2TlHg4, optimized geometry, DFT PBE
data_Ho2TlHg4
_chemical_formula_sum 'Ho4 Tl2 Hg8'
_space_group_name_H-M_alt 'I 4/m m m'
_space_group_IT_number 139
_space_group_name_Hall '-I 4 2'
_cell_length_a 5.7270
_cell_length_b 5.7270
_cell_length_c 12.1416
_cell_angle_alpha 90.00
_cell_angle_beta 90.00
_cell_angle_gamma 90.00
loop_
_atom_site_label
_atom_site_type_symbol
_atom_site_fract_x
_atom_site_fract_y
_atom_site_fract_z
_atom_site_occupancy
Ho1 Ho 0.0000 0.0000 0.1425 1
Tl1 Tl 0.0000 0.0000 0.5000 1
Hg1 Hg 0.0000 0.5000 0.0000 1
Hg2 Hg 0.0000 0.5000 0.2500 1
# **Distance to the lowest polymorph of the same formula**: 123.1 kJ/mol of formula units
# **Calculated formation energy**: -0.079 eV per atom
# **DOS at the Fermi energy**: 7.03 states/eV/f.u.

***

Entry 3:
# BAsSeBr2, optimized geometry, DFT PBE
data_BAsSeBr2
_chemical_formula_sum 'B1 As1 Se1 Br2'
_space_group_name_H-M_alt 'P 4/m m m'
_space_group_IT_number 123
_space_group_name_Hall '-P 4 2'
_cell_length_a 5.4191
_cell_length_b 5.4191
_cell_length_c 5.0763
_cell_angle_alpha 90.00
_cell_angle_beta 90.00
_cell_angle_gamma 90.00
loop_
_atom_site_label
_atom_site_type_symbol
_atom_site_fract_x
_atom_site_fract_y
_atom_site_fract_z
_atom_site_occupancy
B1 B 0.0000 0.0000 0.0000 1
As1 As 0.5000 0.5000 0.0000 1
Se1 Se 0.5000 0.5000 0.5000 1
Br1 Br 0.0000 0.5000 0.5000 1
# **Distance to the lowest polymorph of the same formula**: 269.2 kJ/mol of formula units
# **Energy relative to the elements, uncorrected**: 1.33 eV/atom
# **DOS at the Fermi energy**: 3.57 states/eV/f.u.

***

Entry 4:
# PrNd2Tm, optimized geometry, DFT PBE
data_PrNd2Tm
_chemical_formula_sum 'Pr3 Nd6 Tm3'
_space_group_name_H-M_alt 'R -3 m'
_space_group_IT_number 166
_space_group_name_Hall '-R 3 2"'
_cell_length_a 3.5468
_cell_length_b 3.5468
_cell_length_c 37.9871
_cell_angle_alpha 90.00
_cell_angle_beta 90.00
_cell_angle_gamma 120.00
loop_
_atom_site_label
_atom_site_type_symbol
_atom_site_fract_x
_atom_site_fract_y
_atom_site_fract_z
_atom_site_occupancy
Pr1 Pr 0.0000 0.0000 0.0000 1
Nd1 Nd 0.0000 0.0000 0.0907 1
Tm1 Tm 0.0000 0.0000 0.5000 1
# **Distance to the lowest polymorph of the same formula**: 49.7 kJ/mol of formula units
# **Calculated formation energy**: 0.143 eV per atom
# **DOS at the Fermi energy**: 6.88 states/eV/f.u.

***

Entry 5:
# Tl4BiSb, optimized geometry, DFT PBE
data_Tl4BiSb
_chemical_formula_sum 'Tl32 Bi8 Sb8'
_space_group_name_H-M_alt 'F d d d'
_space_group_IT_number 70
_cell_length_a 10.2098
_cell_length_b 11.2136
_cell_length_c 15.4225
_cell_angle_alpha 90.00
_cell_angle_beta 90.00
_cell_angle_gamma 90.00
loop_
_space_group_symop_operation_xyz
'x,y,z'
'-x,-y,-z'
'-x+1/4,-y+1/4,z'
'x+1/4,y+1/4,-z'
'x,-y+1/4,-z+1/4'
'-x,y+1/4,z+1/4'
'-x+1/4,y,-z+1/4'
'x+1/4,-y,z+1/4'
'x,y+1/2,z+1/2'
'-x,-y+1/2,-z+1/2'
'-x+1/4,-y+3/4,z+1/2'
'x+1/4,y+3/4,-z+1/2'
'x,-y+3/4,-z+3/4'
'-x,y+3/4,z+3/4'
'-x+1/4,y+1/2,-z+3/4'
'x+1/4,-y+1/2,z+3/4'
'x+1/2,y,z+1/2'
'-x+1/2,-y,-z+1/2'
'-x+3/4,-y+1/4,z+1/2'
'x+3/4,y+1/4,-z+1/2'
'x+1/2,-y+1/4,-z+3/4'
'-x+1/2,y+1/4,z+3/4'
'-x+3/4,y,-z+3/4'
'x+3/4,-y,z+3/4'
'x+1/2,y+1/2,z'
'-x+1/2,-y+1/2,-z'
'-x+3/4,-y+3/4,z'
'x+3/4,y+3/4,-z'
'x+1/2,-y+3/4,-z+1/4'
'-x+1/2,y+3/4,z+1/4'
'-x+3/4,y+1/2,-z+1/4'
'x+3/4,-y+1/2,z+1/4'
loop_
_atom_site_label
_atom_site_type_symbol
_atom_site_fract_x
_atom_site_fract_y
_atom_site_fract_z
_atom_site_occupancy
Tl1 Tl 0.1217 0.3734 0.2422 1
Bi1 Bi 0.1250 0.1250 0.6250 1
Sb1 Sb 0.1250 0.1250 0.1250 1
# **Distance to the lowest polymorph of the same formula**: 0.0 kJ/mol of formula units
# **Energy relative to the elements, uncorrected**: 0.02 eV/atom
# **DOS at the Fermi energy**: 3.48 states/eV/f.u.

***

Entry 6:
# Ac2Y2Tl3, optimized geometry, DFT PBE
data_Ac2Y2Tl3
_chemical_formula_sum 'Ac2 Y2 Tl3'
_space_group_name_H-M_alt 'P -1'
_space_group_IT_number 2
_cell_length_a 3.8924
_cell_length_b 6.7493
_cell_length_c 8.9801
_cell_angle_alpha 93.54
_cell_angle_beta 90.01
_cell_angle_gamma 106.70
loop_
_space_group_symop_operation_xyz
'x,y,z'
'-x,-y,-z'
loop_
_atom_site_label
_atom_site_type_symbol
_atom_site_fract_x
_atom_site_fract_y
_atom_site_fract_z
_atom_site_occupancy
Ac1 Ac 0.2072 0.4143 0.1660 1
Y1 Y 0.0552 0.1100 0.7119 1
Tl1 Tl 0.3556 0.7119 0.5313 1
Tl2 Tl 0.5000 0.0000 0.0000 1
# **Distance to the lowest polymorph of the same formula**: 17.5 kJ/mol of formula units
# **Calculated formation energy**: -0.232 eV per atom
# **DOS at the Fermi energy**: 5.46 states/eV/f.u.

***

Entry 7:
# PrIn4Rh2, optimized geometry, DFT PBE
data_PrIn4Rh2
_chemical_formula_sum 'Pr2 In8 Rh4'
_space_group_name_H-M_alt 'P 42/m n m'
_space_group_IT_number 136
_space_group_name_Hall '-P 4n 2n'
_cell_length_a 8.2014
_cell_length_b 8.2014
_cell_length_c 4.6263
_cell_angle_alpha 90.00
_cell_angle_beta 90.00
_cell_angle_gamma 90.00
loop_
_atom_site_label
_atom_site_type_symbol
_atom_site_fract_x
_atom_site_fract_y
_atom_site_fract_z
_atom_site_occupancy
Pr1 Pr 0.0000 0.0000 0.0000 1
In1 In 0.0756 0.3239 0.5000 1
Rh1 Rh 0.2426 0.7574 0.5000 1
# **Distance to the lowest polymorph of the same formula**: 54.6 kJ/mol of formula units
# **Calculated formation energy**: -0.406 eV per atom
# **DOS at the Fermi energy**: 2.59 states/eV/f.u.

***

Entry 8:
# TbDy2Ag2, optimized geometry, DFT PBE
data_TbDy2Ag2
_chemical_formula_sum 'Tb2 Dy4 Ag4'
_space_group_name_H-M_alt 'P 1 21/m 1'
_space_group_IT_number 11
_cell_length_a 3.6414
_cell_length_b 5.2537
_cell_length_c 13.5408
_cell_angle_alpha 90.00
_cell_angle_beta 97.71
_cell_angle_gamma 90.00
loop_
_space_group_symop_operation_xyz
'x,y,z'
'-x,-y,-z'
'-x,y+1/2,-z'
'x,-y+1/2,z'
loop_
_atom_site_label
_atom_site_type_symbol
_atom_site_fract_x
_atom_site_fract_y
_atom_site_fract_z
_atom_site_occupancy
Tb1 Tb 0.1457 0.2500 0.2909 1
Dy1 Dy 0.0475 0.7500 0.0951 1
Dy2 Dy 0.2349 0.7500 0.4690 1
Ag1 Ag 0.3575 0.2500 0.7156 1
Ag2 Ag 0.4529 0.7500 0.9061 1
# **Distance to the lowest polymorph of the same formula**: 0.0 kJ/mol of formula units
# **Calculated formation energy**: -0.237 eV per atom
# **DOS at the Fermi energy**: 3.95 states/eV/f.u.

***

Entry 9:
# Cs2MgCuRh, optimized geometry, DFT PBE
data_Cs2MgCuRh
_chemical_formula_sum 'Cs2 Mg1 Cu1 Rh1'
_space_group_name_H-M_alt 'P 4/m m m'
_space_group_IT_number 123
_space_group_name_Hall '-P 4 2'
_cell_length_a 6.1809
_cell_length_b 6.1809
_cell_length_c 5.0742
_cell_angle_alpha 90.00
_cell_angle_beta 90.00
_cell_angle_gamma 90.00
loop_
_atom_site_label
_atom_site_type_symbol
_atom_site_fract_x
_atom_site_fract_y
_atom_site_fract_z
_atom_site_occupancy
Cs1 Cs 0.0000 0.5000 0.0000 1
Mg1 Mg 0.0000 0.0000 0.5000 1
Cu1 Cu 0.5000 0.5000 0.5000 1
Rh1 Rh 0.0000 0.0000 0.0000 1
# **Calculated formation energy**: 0.550 eV per atom
# **DOS at the Fermi energy**: 2.56 states/eV/f.u.

***

Entry 10:
# FeTePbW2, optimized geometry, DFT PBE
data_FeTePbW2
_chemical_formula_sum 'Fe1 Te1 Pb1 W2'
_space_group_name_H-M_alt 'P 4/m m m'
_space_group_IT_number 123
_space_group_name_Hall '-P 4 2'
_cell_length_a 5.1818
_cell_length_b 5.1818
_cell_length_c 4.7887
_cell_angle_alpha 90.00
_cell_angle_beta 90.00
_cell_angle_gamma 90.00
loop_
_atom_site_label
_atom_site_type_symbol
_atom_site_fract_x
_atom_site_fract_y
_atom_site_fract_z
_atom_site_occupancy
Fe1 Fe 0.0000 0.0000 0.0000 1
Te1 Te 0.5000 0.5000 0.0000 1
Pb1 Pb 0.0000 0.0000 0.5000 1
W1 W 0.0000 0.5000 0.5000 1
# **Energy relative to the elements, uncorrected**: 2.56 eV/atom
# **DOS at the Fermi energy**: 7.74 states/eV/f.u.

***

Entry 11:
# Y4Te3Pb, optimized geometry, DFT PBE
data_Y4Te3Pb
_chemical_formula_sum 'Y8 Te6 Pb2'
_space_group_name_H-M_alt 'I 4/m m m'
_space_group_IT_number 139
_space_group_name_Hall '-I 4 2'
_cell_length_a 6.2079
_cell_length_b 6.2079
_cell_length_c 12.4408
_cell_angle_alpha 90.00
_cell_angle_beta 90.00
_cell_angle_gamma 90.00
loop_
_atom_site_label
_atom_site_type_symbol
_atom_site_fract_x
_atom_site_fract_y
_atom_site_fract_z
_atom_site_occupancy
Y1 Y 0.0000 0.0000 0.2460 1
Y2 Y 0.0000 0.5000 0.0000 1
Te1 Te 0.0000 0.0000 0.5000 1
Te2 Te 0.0000 0.5000 0.2500 1
Pb1 Pb 0.0000 0.0000 0.0000 1
# **Distance to the lowest polymorph of the same formula**: 0.0 kJ/mol of formula units
# **Energy relative to the elements, uncorrected**: -1.18 eV/atom
# **DOS at the Fermi energy**: 2.43 states/eV/f.u.

***

Entry 12:
# ZrTcGe2Cl, optimized geometry, DFT PBE
data_ZrTcGe2Cl
_chemical_formula_sum 'Zr1 Tc1 Ge2 Cl1'
_space_group_name_H-M_alt 'P 4/m m m'
_space_group_IT_number 123
_space_group_name_Hall '-P 4 2'
_cell_length_a 5.2710
_cell_length_b 5.2710
_cell_length_c 4.9759
_cell_angle_alpha 90.00
_cell_angle_beta 90.00
_cell_angle_gamma 90.00
loop_
_atom_site_label
_atom_site_type_symbol
_atom_site_fract_x
_atom_site_fract_y
_atom_site_fract_z
_atom_site_occupancy
Zr1 Zr 0.0000 0.0000 0.0000 1
Tc1 Tc 0.0000 0.0000 0.5000 1
Ge1 Ge 0.0000 0.5000 0.0000 1
Cl1 Cl 0.5000 0.5000 0.5000 1
# **Energy relative to the elements, uncorrected**: 0.98 eV/atom
# **DOS at the Fermi energy**: 3.56 states/eV/f.u.

***

| no. | final energy (eV per atom) |
| --- | --- |
| 1 | -6.5111 |
| 2 | -1.8974 |
| 3 | -2.2965 |
| 4 | -4.5534 |
| 5 | -2.8882 |
| 6 | -4.2667 |
| 7 | -4.7539 |
| 8 | -4.1447 |
| 9 | -2.4001 |
| 10 | -5.6841 |
| 11 | -6.0537 |
| 12 | -5.0154 |